Record 1
Compound: La3PmN3
Source: Alexandria via LeMat-Bulk
Functional: PBE
Structure: relaxed

SG   No. 148
Formation energy from raw total energies   -1.01 eV per atom
Energy above the most stable polymorph in this dataset   65.8 meV/atom

Cell: 10.0684 10.0684 10.0684 Å, 37.33 37.33 37.33°
Positions (direct):
La 0.0989 0.7912 0.4035
La 0.2088 0.5965 0.9011
La 0.4035 0.0989 0.7912
La 0.5965 0.9011 0.2088
La 0.7912 0.4035 0.0989
La 0.9011 0.2088 0.5965
Pm 0.3331 0.3331 0.3331
Pm 0.6669 0.6669 0.6669
N 0.0573 0.4406 0.6754
N 0.3246 0.9427 0.5594
N 0.4406 0.6754 0.0573
N 0.5594 0.3246 0.9427
N 0.6754 0.0573 0.4406
N 0.9427 0.5594 0.3246

=====

Record 2
Compound: LaPm3N3
Source: Alexandria via LeMat-Bulk
Functional: PBE
Structure: relaxed

SG   No. 148
Formation energy from raw total energies   -0.96 eV per atom
Energy above the most stable polymorph in this dataset   176.2 meV/atom

Cell: 6.7858 6.7858 6.7858 Å, 73.74 73.74 73.74°
Positions (direct):
La 0.1913 0.1913 0.1913
La 0.8087 0.8087 0.8087
Pm 0.1791 0.6737 0.3555
Pm 0.3263 0.6445 0.8209
Pm 0.3555 0.1791 0.6737
Pm 0.6445 0.8209 0.3263
Pm 0.6737 0.3555 0.1791
Pm 0.8209 0.3263 0.6445
N 0.0668 0.4879 0.7273
N 0.2727 0.9332 0.5121
N 0.4879 0.7273 0.0668
N 0.5121 0.2727 0.9332
N 0.7273 0.0668 0.4879
N 0.9332 0.5121 0.2727

=====

Record 3
Compound: LaPmN
Source: Alexandria via LeMat-Bulk
Functional: PBE
Structure: relaxed

SG   No. 62
Formation energy from raw total energies   -0.88 eV per atom
Energy above the most stable polymorph in this dataset   0.0 meV/atom

Cell: 12.1632 3.6326 6.4869 Å, 90.00 90.00 90.00°
Positions (direct):
La 0.2396 0.2500 0.1111
La 0.2604 0.7500 0.6111
La 0.7396 0.2500 0.3889
La 0.7604 0.7500 0.8889
Pm 0.0088 0.2500 0.7756
Pm 0.4912 0.7500 0.2756
Pm 0.5088 0.2500 0.7244
Pm 0.9912 0.7500 0.2244
N 0.1195 0.7500 0.9266
N 0.3805 0.2500 0.4266
N 0.6195 0.7500 0.5734
N 0.8805 0.2500 0.0734

=====

Record 4
Compound: LaPm2N
Source: Alexandria via LeMat-Bulk
Functional: PBE
Structure: relaxed

SG   No. 166
Formation energy from raw total energies   -0.65 eV per atom

Cell: 9.7002 9.7002 9.7002 Å, 21.54 21.54 21.54°
Positions (direct):
La 0.0000 0.0000 0.0000
Pm 0.2156 0.2156 0.2156
Pm 0.7844 0.7844 0.7844
N 0.5000 0.5000 0.5000

=====

Record 5
Compound: La3PmN3
Source: Alexandria via LeMat-Bulk
Functional: PBE
Structure: relaxed

SG   No. 176
Formation energy from raw total energies   -1.08 eV per atom
Energy above the most stable polymorph in this dataset   0.0 meV/atom

Cell: 8.3560 8.3560 5.4975 Å, 90.00 90.00 120.00°
Positions (direct):
La 0.1637 0.8343 0.2500
La 0.1657 0.3293 0.2500
La 0.3293 0.1637 0.7500
La 0.6707 0.8363 0.2500
La 0.8343 0.6707 0.7500
La 0.8363 0.1657 0.7500
Pm 0.3333 0.6667 0.7500
Pm 0.6667 0.3333 0.2500
N 0.1658 0.8321 0.7500
N 0.1679 0.3336 0.7500
N 0.3336 0.1658 0.2500
N 0.6664 0.8342 0.7500
N 0.8321 0.6664 0.2500
N 0.8342 0.1679 0.2500

=====

Record 6
Compound: La3PmN4
Source: Alexandria via LeMat-Bulk
Functional: PBE
Structure: relaxed

SG   No. 13
Formation energy from raw total energies   -1.34 eV per atom
Energy above the most stable polymorph in this dataset   0.0 meV/atom

Cell: 6.4374 7.4515 6.4360 Å, 90.00 109.29 90.00°
Positions (direct):
La 0.0000 0.1247 0.2500
La 0.0000 0.3705 0.7500
La 0.0000 0.6295 0.2500
La 0.0000 0.8753 0.7500
La 0.5000 0.3700 0.2500
La 0.5000 0.6300 0.7500
Pm 0.5000 0.1277 0.7500
Pm 0.5000 0.8723 0.2500
N 0.2518 0.3585 0.5048
N 0.2518 0.6415 0.0048
N 0.2547 0.1337 0.9975
N 0.2547 0.8663 0.4975
N 0.7453 0.1337 0.5025
N 0.7453 0.8663 0.0025
N 0.7482 0.3585 0.9952
N 0.7482 0.6415 0.4952

=====

Record 7
Compound: La2PmN2
Source: Alexandria via LeMat-Bulk
Functional: PBE
Structure: relaxed

SG   No. 71
Formation energy from raw total energies   -1.06 eV per atom

Cell: 6.4425 6.4425 6.4425 Å, 147.30 130.48 60.62°
Positions (direct):
La 0.1798 0.1798 0.0000
La 0.8202 0.8202 0.0000
Pm 0.5000 0.5000 0.0000
N 0.3337 0.8337 0.5000
N 0.6663 0.1663 0.5000

=====

Record 8
Compound: La3Pm2N4
Source: Alexandria via LeMat-Bulk
Functional: PBE
Structure: relaxed

SG   No. 12
Formation energy from raw total energies   -1.23 eV per atom

Cell: 6.4816 6.4816 9.2342 Å, 119.73 119.73 33.23°
Positions (direct):
La 0.0000 0.0000 0.0000
La 0.2009 0.2009 0.8079
La 0.7991 0.7991 0.1921
Pm 0.3893 0.3893 0.6144
Pm 0.6107 0.6107 0.3856
N 0.1979 0.1979 0.3152
N 0.3950 0.3950 0.0975
N 0.6050 0.6050 0.9025
N 0.8021 0.8021 0.6848

=====

Record 9
Compound: LaPm2N2
Source: Alexandria via LeMat-Bulk
Functional: PBE
Structure: relaxed

SG   No. 166
Formation energy from raw total energies   -1.11 eV per atom
Energy above the most stable polymorph in this dataset   0.0 meV/atom

Cell: 9.6896 9.6896 9.6896 Å, 21.72 21.72 21.72°
Positions (direct):
La 0.0000 0.0000 0.0000
Pm 0.2313 0.2313 0.2313
Pm 0.7687 0.7687 0.7687
N 0.3932 0.3932 0.3932
N 0.6068 0.6068 0.6068

=====

Record 10
Compound: LaPm2N2
Source: Alexandria via LeMat-Bulk
Functional: PBE
Structure: relaxed

SG   No. 71
Formation energy from raw total energies   -1.11 eV per atom
Energy above the most stable polymorph in this dataset   4.8 meV/atom

Cell: 6.4644 6.4644 6.4644 Å, 147.20 133.00 58.50°
Positions (direct):
La 0.0000 0.0000 0.0000
Pm 0.3171 0.3171 0.0000
Pm 0.6829 0.6829 0.0000
N 0.1741 0.6741 0.5000
N 0.8259 0.3259 0.5000

=====

Record 11
Compound: LaPmN
Source: Alexandria via LeMat-Bulk
Functional: PBE
Structure: relaxed

SG   No. 109
Formation energy from raw total energies   -0.86 eV per atom
Energy above the most stable polymorph in this dataset   19.8 meV/atom

Cell: 6.5406 6.5406 6.5406 Å, 133.52 133.52 67.84°
Positions (direct):
La 0.0000 0.0000 0.0000
La 0.7500 0.2500 0.5000
Pm 0.2165 0.7165 0.5000
Pm 0.4665 0.4665 0.0000
N 0.2342 0.2342 0.0000
N 0.9842 0.4842 0.5000

=====

Record 12
Compound: LaPmN
Source: Alexandria via LeMat-Bulk
Functional: PBE
Structure: relaxed

SG   No. 156
Formation energy from raw total energies   -0.88 eV per atom
Energy above the most stable polymorph in this dataset   0.9 meV/atom

Cell: 3.6391 3.6391 6.5567 Å, 90.00 90.00 120.00°
Positions (direct):
La 0.0000 0.0000 0.0000
Pm 0.6667 0.3333 0.5762
N 0.3333 0.6667 0.7785

=====

Record 13
Compound: La5PmN5
Source: Alexandria via LeMat-Bulk
Functional: PBE
Structure: relaxed

SG   No. 12
Formation energy from raw total energies   -1.23 eV per atom

Cell: 6.4204 6.4204 7.4220 Å, 106.79 106.79 48.55°
Positions (direct):
La 0.0000 0.0000 0.0000
La 0.3283 0.3283 0.1740
La 0.3294 0.3294 0.6549
La 0.6706 0.6706 0.3451
La 0.6717 0.6717 0.8260
Pm 0.0000 0.0000 0.5000
N 0.1611 0.1611 0.8322
N 0.1702 0.1702 0.3373
N 0.5000 0.5000 0.5000
N 0.8298 0.8298 0.6627
N 0.8389 0.8389 0.1678

=====

Record 14
Compound: La3PmN4
Source: Alexandria via LeMat-Bulk
Functional: PBE
Structure: relaxed

SG   No. 221
Formation energy from raw total energies   -1.33 eV per atom
Energy above the most stable polymorph in this dataset   6.8 meV/atom

Cell: 5.2581 5.2581 5.2581 Å, 90.00 90.00 90.00°
Positions (direct):
La 0.0000 0.0000 0.5000
La 0.0000 0.5000 0.0000
La 0.5000 0.0000 0.0000
Pm 0.5000 0.5000 0.5000
N 0.0000 0.0000 0.0000
N 0.0000 0.5000 0.5000
N 0.5000 0.0000 0.5000
N 0.5000 0.5000 0.0000

=====

Record 15
Compound: La3PmN
Source: Alexandria via LeMat-Bulk
Functional: PBE
Structure: relaxed

SG   No. 221
Formation energy from raw total energies   -0.49 eV per atom

Cell: 5.2255 5.2255 5.2255 Å, 90.00 90.00 90.00°
Positions (direct):
La 0.0000 0.0000 0.5000
La 0.0000 0.5000 0.0000
La 0.5000 0.0000 0.0000
Pm 0.5000 0.5000 0.5000
N 0.0000 0.0000 0.0000

=====

Record 16
Compound: LaPmN
Source: Alexandria via LeMat-Bulk
Functional: PBE
Structure: relaxed

SG   No. 216
Formation energy from raw total energies   -0.38 eV per atom
Energy above the most stable polymorph in this dataset   506.4 meV/atom

Cell: 4.4405 4.4405 4.4405 Å, 60.00 60.00 60.00°
Positions (direct):
La 0.0000 0.0000 0.0000
Pm 0.5000 0.5000 0.5000
N 0.7500 0.7500 0.7500

=====

Record 17
Compound: LaPmN
Source: Alexandria via LeMat-Bulk
Functional: PBE
Structure: relaxed

SG   No. 14
Formation energy from raw total energies   -0.83 eV per atom
Energy above the most stable polymorph in this dataset   54.4 meV/atom

Cell: 6.3714 5.9756 7.2610 Å, 90.00 90.40 90.00°
Positions (direct):
La 0.0850 0.2463 0.3699
La 0.0850 0.2537 0.8699
La 0.9150 0.7463 0.1301
La 0.9150 0.7537 0.6301
Pm 0.4171 0.7342 0.8734
Pm 0.4171 0.7658 0.3734
Pm 0.5829 0.2342 0.6266
Pm 0.5829 0.2658 0.1266
N 0.2595 0.5007 0.1160
N 0.2595 0.9993 0.6160
N 0.7405 0.0007 0.3840
N 0.7405 0.4993 0.8840

=====

Record 18
Compound: La8PmN6
Source: Alexandria via LeMat-Bulk
Functional: PBE
Structure: relaxed

SG   No. 148
Formation energy from raw total energies   -1.10 eV per atom

Cell: 10.3305 10.3305 10.3305 Å, 36.28 36.28 36.28°
Positions (direct):
La 0.0664 0.4005 0.7345
La 0.1667 0.1667 0.1667
La 0.2655 0.9336 0.5995
La 0.4005 0.7345 0.0664
La 0.5995 0.2655 0.9336
La 0.7345 0.0664 0.4005
La 0.8333 0.8333 0.8333
La 0.9336 0.5995 0.2655
Pm 0.5000 0.5000 0.5000
N 0.1173 0.7709 0.4440
N 0.2291 0.5560 0.8827
N 0.4440 0.1173 0.7709
N 0.5560 0.8827 0.2291
N 0.7709 0.4440 0.1173
N 0.8827 0.2291 0.5560

=====

Record 19
Compound: LaPm8N6
Source: Alexandria via LeMat-Bulk
Functional: PBE
Structure: relaxed

SG   No. 148
Formation energy from raw total energies   -1.14 eV per atom

Cell: 9.9374 9.9374 9.9374 Å, 37.01 37.01 37.01°
Positions (direct):
La 0.0000 0.0000 0.0000
Pm 0.1023 0.4354 0.7691
Pm 0.2309 0.8977 0.5646
Pm 0.3333 0.3333 0.3333
Pm 0.4354 0.7691 0.1023
Pm 0.5646 0.2309 0.8977
Pm 0.6667 0.6667 0.6667
Pm 0.7691 0.1023 0.4354
Pm 0.8977 0.5646 0.2309
N 0.0576 0.7200 0.3954
N 0.2800 0.6046 0.9424
N 0.3954 0.0576 0.7200
N 0.6046 0.9424 0.2800
N 0.7200 0.3954 0.0576
N 0.9424 0.2800 0.6046

=====

Record 20
Compound: LaPm4N4
Source: Alexandria via LeMat-Bulk
Functional: PBE
Structure: relaxed

SG   No. 121
Formation energy from raw total energies   -0.67 eV per atom
Energy above the most stable polymorph in this dataset   593.0 meV/atom

Cell: 6.9903 6.9903 6.9903 Å, 129.88 129.88 73.60°
Positions (direct):
La 0.0000 0.0000 0.0000
Pm 0.0000 0.5000 0.5000
Pm 0.2842 0.2842 0.0000
Pm 0.5000 0.0000 0.5000
Pm 0.7158 0.7158 0.0000
N 0.1254 0.6355 0.0000
N 0.3645 0.3645 0.4900
N 0.6355 0.1254 0.0000
N 0.8746 0.8746 0.5100